{"formula": "Ni4PbO8", "functional": "GGA+U", "state": "optimized geometry", "cell": [[5.064, -2.897, 0.000], [5.064, 2.897, 0.000], [-3.236, 0.000, 5.285]], "species": ["Ni", "Ni", "Ni", "Ni", "Pb", "O", "O", "O", "O", "O", "O", "O", "O"], "fractional_positions": [[0.000, 0.000, 0.000], [0.000, 0.500, 0.000], [0.500, 0.000, 0.000], [0.500, 0.500, 0.000], [0.000, 0.000, 0.500], [0.219, 0.219, 0.173], [0.221, 0.762, 0.207], [0.238, 0.779, 0.793], [0.258, 0.258, 0.801], [0.742, 0.742, 0.199], [0.762, 0.221, 0.207], [0.779, 0.238, 0.793], [0.781, 0.781, 0.827]], "space_group": "No. 12", "m_tot_mub_per_fu": 4.0, "e_tot_ev_per_atom": -4.822}